Record 1
Tb6CdCo2 after structural relaxation, computed with PBE-GGA.

**Energy relative to the lowest polymorph listed for this composition**: 0.00 eV per formula unit
**Volume**: 25.16 Å³ per atom
**Electronic total energy**: -4.968 eV/atom
**DFT formation energy**: -0.20 eV/atom

a = 8.386 Å, b = 8.386 Å, c = 8.386 Å
α = 106.86°, β = 112.37°, γ = 109.23°
Atoms (fractional coordinates):
Tb (0.533, 0.817, 0.715)
Tb (0.467, 0.183, 0.285)
Tb (0.102, 0.817, 0.285)
Tb (0.898, 0.183, 0.715)
Tb (0.796, 0.032, 0.235)
Tb (0.204, 0.968, 0.765)
Tb (0.204, 0.439, 0.235)
Tb (0.796, 0.561, 0.765)
Tb (0.687, 0.324, 0.011)
Tb (0.313, 0.676, 0.989)
Tb (0.313, 0.324, 0.636)
Tb (0.687, 0.676, 0.364)
Cd (0.000, 0.500, 0.500)
Cd (0.000, 0.000, 0.000)
Co (0.500, 0.113, 0.613)
Co (0.500, 0.887, 0.387)
Co (0.661, 0.661, 0.000)
Co (0.339, 0.339, 0.000)

***

Record 2
Li5SnGe2 after structural relaxation, computed with PBE-GGA.

**Volume**: 17.05 Å³ per atom
**Electronic total energy**: -3.159 eV/atom
**DFT formation energy**: -0.31 eV/atom

a = 6.590 Å, b = 6.565 Å, c = 5.712 Å
α = 127.03°, β = 127.03°, γ = 87.49°
Atoms (fractional coordinates):
Li (0.738, 0.238, 0.945)
Li (0.221, 0.190, 0.957)
Li (0.677, 0.707, 0.931)
Li (0.262, 0.762, 0.944)
Li (0.690, 0.691, 0.445)
Sn (0.190, 0.190, 0.443)
Ge (0.207, 0.716, 0.369)
Ge (0.792, 0.282, 0.520)

***

Record 3
Te2SO4F6 after structural relaxation, computed with PBE-GGA.

**Volume**: 16.25 Å³ per atom
**Raw formation energy**: -1728 meV per atom
**Electronic total energy**: -4.918 eV/atom

a = 9.240 Å, b = 8.975 Å, c = 10.192 Å
α = 90.00°, β = 90.00°, γ = 90.00°
Atoms (fractional coordinates):
Te (0.048, 0.146, 0.047)
Te (0.555, 0.834, 0.082)
Te (0.445, 0.334, 0.418)
Te (0.548, 0.354, 0.953)
Te (0.945, 0.166, 0.582)
Te (0.055, 0.666, 0.918)
Te (0.952, 0.646, 0.453)
Te (0.452, 0.854, 0.547)
S (0.832, 0.957, 0.291)
S (0.332, 0.543, 0.709)
S (0.168, 0.457, 0.209)
S (0.668, 0.043, 0.791)
O (0.553, 0.157, 0.823)
O (0.368, 0.474, 0.838)
O (0.132, 0.526, 0.338)
O (0.447, 0.657, 0.677)
O (0.688, 0.883, 0.279)
O (0.825, 0.070, 0.396)
O (0.675, 0.930, 0.896)
O (0.812, 0.117, 0.779)
O (0.175, 0.570, 0.104)
O (0.053, 0.343, 0.177)
O (0.632, 0.974, 0.662)
O (0.947, 0.843, 0.323)
O (0.868, 0.026, 0.162)
O (0.188, 0.617, 0.721)
O (0.312, 0.383, 0.221)
O (0.325, 0.430, 0.604)
F (0.499, 0.536, 0.396)
F (0.339, 0.939, 0.681)
F (0.896, 0.690, 0.035)
F (0.999, 0.964, 0.604)
F (0.104, 0.190, 0.465)
F (0.501, 0.036, 0.104)
F (0.576, 0.547, 0.045)
F (0.924, 0.453, 0.545)
F (0.001, 0.464, 0.896)
F (0.396, 0.810, 0.965)
F (0.727, 0.289, 0.029)
F (0.924, 0.718, 0.782)
F (0.839, 0.561, 0.319)
F (0.424, 0.047, 0.455)
F (0.604, 0.310, 0.535)
F (0.576, 0.282, 0.282)
F (0.424, 0.782, 0.218)
F (0.076, 0.218, 0.718)
F (0.227, 0.211, 0.971)
F (0.273, 0.789, 0.471)
F (0.661, 0.439, 0.819)
F (0.161, 0.061, 0.181)
F (0.076, 0.953, 0.955)
F (0.773, 0.711, 0.529)

***

Record 4
NaLaP2H after structural relaxation, computed with PBE-GGA.

**Volume**: 17.91 Å³ per atom
**Electronic total energy**: -4.330 eV/atom

a = 4.598 Å, b = 4.234 Å, c = 4.598 Å
α = 90.00°, β = 90.00°, γ = 90.00°
Atoms (fractional coordinates):
P (0.000, 0.000, 0.500)
P (0.500, 0.000, 0.000)
Na (0.500, 0.500, 0.500)
H (0.000, 0.000, 0.000)
La (0.000, 0.500, 0.000)

***

Record 5
MgFe2Co after structural relaxation, computed with PBE-GGA.

**Volume**: 12.91 Å³ per atom
**Electronic total energy**: -6.254 eV/atom
**DFT formation energy**: 0.15 eV/atom

a = 4.042 Å, b = 2.574 Å, c = 5.071 Å
α = 78.13°, β = 90.00°, γ = 90.00°
Atoms (fractional coordinates):
Co (0.500, 0.775, 0.770)
Fe (0.000, 0.983, 0.997)
Fe (0.500, 0.232, 0.230)
Mg (0.000, 0.511, 0.503)

***

Record 6
PrSm8In2 after structural relaxation, computed with PBE-GGA.

**Volume**: 33.01 Å³ per atom
**Electronic total energy**: -4.426 eV/atom
**DFT formation energy**: -0.06 eV/atom

a = 5.426 Å, b = 10.210 Å, c = 10.210 Å
α = 40.03°, β = 93.17°, γ = 93.17°
Atoms (fractional coordinates):
Pr (0.000, 0.000, 0.000)
Sm (0.275, 0.127, 0.601)
Sm (0.275, 0.601, 0.127)
Sm (0.725, 0.873, 0.399)
Sm (0.238, 0.545, 0.545)
Sm (0.725, 0.399, 0.873)
Sm (0.233, 0.200, 0.200)
Sm (0.767, 0.800, 0.800)
Sm (0.762, 0.455, 0.455)
In (0.756, 0.289, 0.289)
In (0.244, 0.711, 0.711)

***

no.,total moment (μB per formula unit)
1,0.0
2,0.0
3,0.0
4,0.0
5,6.5
6,0.0